A relaxed structure of Rb2BaNpS4, computed with PBE-GGA.

CIF file:
```
data_Rb2BaNpS4
_symmetry_space_group_name_H-M 'P 1'
_symmetry_Int_Tables_number 1
_symmetry_space_group_name_Hall 'P 1'
_cell_length_a 4.3028
_cell_length_b 8.0616
_cell_length_c 7.6899
_cell_angle_alpha 71.86
_cell_angle_beta 90.00
_cell_angle_gamma 90.00
loop_
_atom_site_label
_atom_site_type_symbol
_atom_site_fract_x
_atom_site_fract_y
_atom_site_fract_z
S1 S 0.0000 0.6993 0.7207
S2 S 0.0000 0.3007 0.2793
Rb1 Rb 0.0000 0.0000 0.0000
S3 S 0.5000 0.3093 0.7001
Np1 Np 0.0000 0.5000 0.5000
Ba1 Ba 0.5000 0.5000 0.0000
Rb2 Rb 0.5000 0.0000 0.5000
S4 S 0.5000 0.6907 0.2999
```

## Properties
Its uncorrected formation energy is -1138 kJ/mol of formula units. Its space-group type is P2/m (10). As for the size of the total moment: 3.0 μB per cell.